No. 1
The following is a PBE calculation of an optimized crystal structure of LaMn2ZnCu, from the Alexandria database.

a b c (Å): 4.775 4.595 4.775
angles (deg): 90.00 90.00 90.00
Each line ends with the local moment (μB).
Atoms (fractional coordinates):
Zn (0.000, 0.000, 0.000)  -0.01
Mn (0.000, 0.000, 0.500)  3.82
Mn (0.500, 0.000, 0.000)  3.59
Cu (0.000, 0.500, 0.000)  0.04
La (0.500, 0.500, 0.500)  -0.20

Properties
As for the space-group type: P4/mmm. As for the energy: -5.2541 eV/atom. For the density of states at the Fermi level, the calculation gives 1.53 states/eV per atom. The calculation puts the energy of formation at 473 meV per atom.

***

No. 2
The following is a PBE calculation of an optimized crystal structure of La2MnZn3Cu12, from the Alexandria database.

a b c (Å): 9.658 9.658 9.658
angles (deg): 37.84 37.84 37.84
Each line ends with the local moment (μB).
Atoms (fractional coordinates):
La (0.652, 0.652, 0.652)  -0.07
La (0.348, 0.348, 0.348)  -0.07
Mn (0.000, 0.000, 0.000)  3.54
Zn (0.500, 0.000, 0.000)  0.00
Zn (0.000, 0.500, 0.000)  0.00
Zn (0.000, 0.000, 0.500)  0.00
Cu (0.420, 0.420, 0.806)  0.00
Cu (0.932, 0.932, 0.354)  0.05
Cu (0.354, 0.932, 0.932)  0.05
Cu (0.806, 0.420, 0.420)  0.00
Cu (0.932, 0.354, 0.932)  0.05
Cu (0.420, 0.806, 0.420)  0.00
Cu (0.580, 0.580, 0.194)  0.00
Cu (0.068, 0.068, 0.646)  0.05
Cu (0.646, 0.068, 0.068)  0.05
Cu (0.194, 0.580, 0.580)  0.00
Cu (0.068, 0.646, 0.068)  0.05
Cu (0.580, 0.194, 0.580)  0.00

Properties
As for the space-group type: R-3m. As for the energy: -3.8556 eV/atom. For the density of states at the Fermi level, the calculation gives 0.47 states/eV per atom. The calculation puts the energy of formation at 144 meV per atom.

***

No. 3
The following is a PBE calculation of an optimized crystal structure of LaZrMn2Cu, from the Alexandria database.

a b c (Å): 4.577 4.927 4.577
angles (deg): 90.00 90.00 90.00
Each line ends with the local moment (μB).
Atoms (fractional coordinates):
Mn (0.000, 0.000, 0.500)  0.08
Mn (0.500, 0.000, 0.000)  0.01
Cu (0.000, 0.000, 0.000)  -0.07
Zr (0.500, 0.500, 0.500)  -0.26
La (0.000, 0.500, 0.000)  -0.10

Properties
As for the space-group type: P4/mmm. As for the energy: -5.9113 eV/atom. For the density of states at the Fermi level, the calculation gives 1.93 states/eV per atom. The calculation puts the energy of formation at 1271 meV per atom.

***

No. 4
The following is a PBE calculation of an optimized crystal structure of LaCuMo, from the Alexandria database.

a b c (Å): 7.060 7.060 2.926
angles (deg): 78.04 78.04 23.92
Atoms (fractional coordinates):
Cu (0.981, 0.981, 0.019)
La (0.661, 0.661, 0.339)
Mo (0.358, 0.358, 0.642)

Properties
As for the space-group type: I4mm. As for the energy: -6.1722 eV/atom. For the density of states at the Fermi level, the calculation gives 0.66 states/eV per atom. The calculation puts the energy of formation at 446 meV per atom.